Record 1
# Tm5AgHg4

Tm5AgHg4 after structural relaxation (GGA-PBE, Alexandria via LeMat-Bulk).

Computed properties:
energy of formation: -451 meV per atom

The structure in POSCAR format:
```
Tm5AgHg4
1.0
-0.114 -3.659 -0.033
2.332 -0.097 2.821
-14.045 0.332 11.623
Tm Hg Ag
5 4 1
Direct
0.500 0.500 0.904
0.500 0.500 0.298
0.500 0.500 0.702
0.500 0.500 0.096
0.500 0.500 0.500
0.000 0.000 0.802
0.000 0.000 0.198
0.000 0.000 0.601
0.000 0.000 0.399
0.000 0.000 0.000
```

***

Record 2
# Tm5AgHg6

Tm5AgHg6 after structural relaxation (GGA-PBE, Alexandria via LeMat-Bulk).

Computed properties:
energy of formation: -408 meV per atom

The structure in POSCAR format:
```
Tm5AgHg6
1.0
4.862 0.002 -1.502
-0.806 6.824 -2.600
0.062 -0.561 8.886
Hg Tm Ag
6 5 1
Direct
0.834 0.082 0.669
0.500 0.254 0.000
0.166 0.918 0.331
0.834 0.587 0.669
0.500 0.746 0.000
0.166 0.413 0.331
0.670 0.670 0.340
0.330 0.330 0.660
0.342 0.842 0.684
0.658 0.158 0.316
0.000 0.500 0.000
0.000 0.000 0.000
```

***

Record 3
# TmAg2Hg5

TmAg2Hg5 after structural relaxation (GGA-PBE, Alexandria via LeMat-Bulk).

Computed properties:
energy of formation: -52 meV per atom

The structure in POSCAR format:
```
TmAg2Hg5
1.0
-4.304 5.864 -2.420
-0.609 -3.293 -6.896
-2.773 -4.333 6.575
Ag Hg Tm
4 10 2
Direct
0.138 0.362 0.000
0.362 0.862 0.000
0.862 0.638 0.000
0.638 0.138 0.000
0.192 0.999 0.691
0.001 0.501 0.309
0.000 0.000 0.000
0.500 0.500 0.000
0.999 0.499 0.691
0.808 0.001 0.309
0.499 0.692 0.691
0.501 0.308 0.309
0.308 0.808 0.309
0.692 0.192 0.691
0.750 0.750 0.500
0.250 0.250 0.500
```

***

Record 4
# TmAgHg4

TmAgHg4 after structural relaxation (GGA-PBE, Alexandria via LeMat-Bulk).

Computed properties:
energy of formation: -11 meV per atom

The structure in POSCAR format:
```
TmAgHg4
1.0
-5.213 -0.206 -2.515
-0.608 -5.651 1.111
-4.471 2.266 9.080
Tm Hg Ag
2 8 2
Direct
0.011 0.011 0.250
0.989 0.989 0.750
0.799 0.799 0.496
0.201 0.201 0.504
0.145 0.517 0.250
0.517 0.145 0.250
0.855 0.483 0.750
0.483 0.855 0.750
0.799 0.799 0.004
0.201 0.201 0.996
0.366 0.366 0.750
0.634 0.634 0.250
```

***

Record 5
# Tm4AgHg

Tm4AgHg after structural relaxation (GGA-PBE, Alexandria via LeMat-Bulk).

Computed properties:
energy of formation: -49 meV per atom

The structure in POSCAR format:
```
Tm4AgHg
1.0
4.971 0.000 -0.001
0.000 4.972 -0.002
0.004 0.005 7.106
Tm Hg Ag
4 1 1
Direct
0.501 0.997 0.251
0.001 0.497 0.252
0.001 0.498 0.745
0.501 0.998 0.745
0.501 0.497 0.998
0.001 0.997 0.498
```

***

Record 6
# TmAg6Hg2

TmAg6Hg2 after structural relaxation (GGA-PBE, Alexandria via LeMat-Bulk).

Computed properties:
energy of formation: -78 meV per atom

The structure in POSCAR format:
```
TmAg6Hg2
1.0
-2.549 2.068 2.433
0.086 -1.748 5.008
5.686 5.898 4.377
Hg Ag Tm
2 6 1
Direct
0.331 0.605 0.734
0.669 0.395 0.266
0.334 0.951 0.381
0.998 0.160 0.843
0.002 0.840 0.157
0.664 0.726 0.946
0.666 0.049 0.619
0.336 0.274 0.054
0.000 0.500 0.500
```

***

Record 7
# Tm4AgHg2

Tm4AgHg2 after structural relaxation (GGA-PBE, Alexandria via LeMat-Bulk).

Computed properties:
energy of formation: -272 meV per atom

The structure in POSCAR format:
```
Tm4AgHg2
1.0
4.858 0.000 1.518
2.192 4.335 1.518
-0.082 -0.050 8.796
Tm Ag Hg
4 1 2
Direct
0.376 0.376 0.871
0.126 0.126 0.623
0.874 0.874 0.377
0.624 0.624 0.129
0.000 0.000 0.000
0.752 0.752 0.743
0.248 0.248 0.257
```

***

Record 8
# Tm3AgHg6

Tm3AgHg6 after structural relaxation (GGA-PBE, Alexandria via LeMat-Bulk).

Computed properties:
energy of formation: -188 meV per atom

The structure in POSCAR format:
```
Tm3AgHg6
1.0
-4.073 0.520 4.226
-3.067 2.701 -5.848
1.061 -7.023 -0.672
Hg Tm Ag
6 3 1
Direct
0.598 0.025 0.702
0.598 0.702 0.025
0.148 0.687 0.687
0.914 0.297 0.297
0.421 0.010 0.288
0.421 0.288 0.010
0.535 0.516 0.516
0.020 0.004 0.508
0.020 0.508 0.004
0.984 0.963 0.963
```